The following is a DFT calculation (GGA+U) of crystalline HfWCF2 at its relaxed geometry.

Output
As for the total energy: -6.32 eV per atom. As for the crystal system: tetragonal. For the density, the calculation gives 7.7 g/cm³. Its space group is No. 123.

The structure in POSCAR format:
```
HfWCF2
1.0
3.8295 0.0000 0.0000
0.0000 3.8295 0.0000
0.0000 0.0000 6.0791
Hf W C F
1 1 1 2
Direct
0.0000 0.0000 0.0000
0.0000 0.0000 0.5000
0.5000 0.5000 0.5000
0.0000 0.5000 0.0000
0.5000 0.0000 0.0000
```